Here is a relaxed Al2H10S3O17 crystal from Alexandria via LeMat-Bulk. Energies are from PBEsol.

a b c (Å): 5.418 10.796 20.870
angles (deg): 90.00 98.79 90.00
Sites, in units of the cell vectors:
Al (0.000, 0.000, 0.000)
Al (0.000, 0.000, 0.500)
Al (0.000, 0.500, 0.000)
Al (0.000, 0.500, 0.500)
Al (0.407, 0.237, 0.310)
Al (0.407, 0.263, 0.810)
Al (0.593, 0.737, 0.190)
Al (0.593, 0.763, 0.690)
H (0.114, 0.172, 0.207)
H (0.114, 0.328, 0.707)
H (0.150, 0.175, 0.704)
H (0.150, 0.325, 0.204)
H (0.268, 0.582, 0.692)
H (0.268, 0.918, 0.192)
H (0.299, 0.556, 0.203)
H (0.299, 0.944, 0.703)
H (0.311, 0.067, 0.597)
H (0.311, 0.433, 0.097)
H (0.329, 0.166, 0.020)
H (0.329, 0.334, 0.520)
H (0.336, 0.089, 0.086)
H (0.336, 0.411, 0.586)
H (0.362, 0.627, 0.765)
H (0.362, 0.873, 0.265)
H (0.402, 0.116, 0.529)
H (0.402, 0.384, 0.029)
H (0.427, 0.599, 0.276)
H (0.427, 0.901, 0.776)
H (0.573, 0.099, 0.224)
H (0.573, 0.401, 0.724)
H (0.598, 0.616, 0.971)
H (0.598, 0.884, 0.471)
H (0.638, 0.127, 0.735)
H (0.638, 0.373, 0.235)
H (0.664, 0.589, 0.414)
H (0.664, 0.911, 0.914)
H (0.671, 0.666, 0.480)
H (0.671, 0.834, 0.980)
H (0.689, 0.567, 0.903)
H (0.689, 0.933, 0.403)
H (0.701, 0.056, 0.297)
H (0.701, 0.444, 0.797)
H (0.732, 0.082, 0.808)
H (0.732, 0.418, 0.308)
H (0.850, 0.675, 0.796)
H (0.850, 0.825, 0.296)
H (0.886, 0.672, 0.293)
H (0.886, 0.828, 0.793)
S (0.148, 0.508, 0.859)
S (0.148, 0.992, 0.359)
S (0.207, 0.008, 0.865)
S (0.207, 0.492, 0.365)
S (0.286, 0.746, 0.046)
S (0.286, 0.754, 0.546)
S (0.714, 0.246, 0.454)
S (0.714, 0.254, 0.954)
S (0.793, 0.508, 0.635)
S (0.793, 0.992, 0.135)
S (0.852, 0.008, 0.641)
S (0.852, 0.492, 0.141)
O (0.031, 0.034, 0.173)
O (0.031, 0.466, 0.673)
O (0.071, 0.668, 0.019)
O (0.071, 0.832, 0.519)
O (0.114, 0.048, 0.667)
O (0.114, 0.452, 0.167)
O (0.175, 0.120, 0.336)
O (0.175, 0.380, 0.836)
O (0.179, 0.508, 0.930)
O (0.179, 0.992, 0.430)
O (0.191, 0.248, 0.230)
O (0.191, 0.252, 0.730)
O (0.199, 0.624, 0.548)
O (0.199, 0.876, 0.048)
O (0.207, 0.505, 0.436)
O (0.207, 0.995, 0.936)
O (0.221, 0.116, 0.046)
O (0.221, 0.384, 0.546)
O (0.238, 0.142, 0.852)
O (0.238, 0.358, 0.352)
O (0.298, 0.054, 0.549)
O (0.298, 0.446, 0.049)
O (0.330, 0.593, 0.838)
O (0.330, 0.907, 0.338)
O (0.367, 0.706, 0.114)
O (0.367, 0.794, 0.614)
O (0.387, 0.639, 0.719)
O (0.387, 0.861, 0.219)
O (0.421, 0.566, 0.350)
O (0.421, 0.934, 0.850)
O (0.424, 0.613, 0.228)
O (0.424, 0.887, 0.728)
O (0.489, 0.735, 0.008)
O (0.489, 0.765, 0.508)
O (0.511, 0.235, 0.492)
O (0.511, 0.265, 0.992)
O (0.576, 0.113, 0.272)
O (0.576, 0.387, 0.772)
O (0.579, 0.066, 0.150)
O (0.579, 0.434, 0.650)
O (0.613, 0.139, 0.781)
O (0.613, 0.361, 0.281)
O (0.633, 0.206, 0.386)
O (0.633, 0.294, 0.886)
O (0.670, 0.093, 0.662)
O (0.670, 0.407, 0.162)
O (0.702, 0.554, 0.951)
O (0.702, 0.946, 0.451)
O (0.762, 0.642, 0.648)
O (0.762, 0.858, 0.148)
O (0.779, 0.616, 0.454)
O (0.779, 0.884, 0.954)
O (0.793, 0.005, 0.064)
O (0.793, 0.495, 0.564)
O (0.801, 0.124, 0.952)
O (0.801, 0.376, 0.452)
O (0.809, 0.748, 0.270)
O (0.809, 0.752, 0.770)
O (0.821, 0.008, 0.570)
O (0.821, 0.492, 0.070)
O (0.825, 0.620, 0.164)
O (0.825, 0.880, 0.664)
O (0.886, 0.548, 0.833)
O (0.886, 0.952, 0.333)
O (0.929, 0.168, 0.481)
O (0.929, 0.332, 0.981)
O (0.969, 0.534, 0.327)
O (0.969, 0.966, 0.827)

Results
- theoretical density (g/cm³) = 2.4
- calculated volume (Å³ per atom) = 9.424
- M_tot (μB/f.u.) = 0.0
- VASP energy (eV/f.u.) = -192.7